Here is Dy2TeS4 after structural relaxation from the Alexandria database. Energies are from PBE.

Cell lengths 6.0656, 6.0656, 8.1619 Å; angles 111.81, 111.81, 90.00 degrees
Each line ends with the local moment (μB).
Fractional positions:
1 S 0.4109 0.8763 0.2872  0.08
2 S 0.8763 0.4109 0.2872  0.08
3 S 0.1237 0.1237 0.7128  0.08
4 S 0.5891 0.5891 0.7128  0.08
5 Dy 0.7500 0.2500 0.5000  0.11
6 Dy 0.2500 0.7500 0.5000  0.11
7 Te 0.5000 0.5000 0.0000  0.67

Results
**V**: 255 Å³/cell
**Energy relative to the elements, uncorrected**: -0.958 eV/atom
**Magnetic moment**: 2.0 μB per cell
**SG**: I-42m (121)